Compound: NbBiIr2
Source: the Alexandria database
Functional: GGA-PBEsol
Structure: optimized geometry

- magnetization (μB/cell) = 0.000
- total DFT energy (no corrections) (eV per atom) = -7.991
- DOS at the Fermi energy (states/eV per cell) = 8.852
- symmetry = No. 122

a b c (Å): 5.9469 5.9469 11.4640
angles (deg): 90.00 90.00 90.00
Atoms (fractional coordinates):
Nb: 0.0000 0.0000 0.0000
Nb: 0.0000 0.5000 0.2500
Nb: 0.5000 0.0000 0.7500
Nb: 0.5000 0.5000 0.5000
Bi: 0.0000 0.0000 0.5000
Bi: 0.0000 0.5000 0.7500
Bi: 0.5000 0.0000 0.2500
Bi: 0.5000 0.5000 0.0000
Ir: 0.2262 0.2500 0.1250
Ir: 0.2500 0.7262 0.3750
Ir: 0.2500 0.7738 0.8750
Ir: 0.2738 0.2500 0.6250
Ir: 0.7262 0.7500 0.6250
Ir: 0.7500 0.2262 0.8750
Ir: 0.7500 0.2738 0.3750
Ir: 0.7738 0.7500 0.1250